A plane-wave DFT calculation with PBE was carried out for a geometry-optimized Si2Te8Au structure.

Geometry as extended XYZ:
```
11
Lattice="6.645 -4.811 0.000 6.645 4.811 0.000 -1.616 0.000 6.079" Properties=species:S:1:pos:R:3 pbc="T T T"
Si 2.258 0.000 1.219
Si 9.416 0.000 4.859
Te 4.228 2.904 4.117
Te 1.944 0.000 5.114
Te 7.446 2.904 1.962
Te 4.764 0.000 1.648
Te 6.910 0.000 4.431
Te 4.228 -2.904 4.117
Te 9.730 0.000 0.965
Te 7.446 -2.904 1.962
Au -0.808 0.000 3.039
```

Crystal system   monoclinic
Energy relative to the elements, uncorrected   9.9 kJ per mole of atoms
Space group   No. 12